## a
VASP calculation (PBE-GGA) on AlSiW2 after structural relaxation.

CIF file:
```
data_AlSiW2
_symmetry_space_group_name_H-M 'I 4/m m m'
_symmetry_Int_Tables_number 139
_symmetry_space_group_name_Hall '-I 4 2'
_cell_length_a 3.8406
_cell_length_b 3.8406
_cell_length_c 8.0992
_cell_angle_alpha 90.00
_cell_angle_beta 90.00
_cell_angle_gamma 90.00
loop_
_atom_site_label
_atom_site_type_symbol
_atom_site_fract_x
_atom_site_fract_y
_atom_site_fract_z
Al1 Al 0.0000 0.0000 0.0000
Si1 Si 0.0000 0.0000 0.5000
W1 W 0.0000 0.5000 0.2500
```

As for the density: 11.752 Mg/m³. Its density of states at the Fermi level is 2.88 states/eV/f.u. As for the size of the total moment: 0.0 μB/f.u.

=====

## b
VASP calculation (PBE-GGA) on AlSiW2 after structural relaxation.

CIF file:
```
data_AlSiW2
_symmetry_space_group_name_H-M 'C m m m'
_symmetry_Int_Tables_number 65
_symmetry_space_group_name_Hall '-C 2 2'
_cell_length_a 3.2208
_cell_length_b 4.5225
_cell_length_c 8.2708
_cell_angle_alpha 90.00
_cell_angle_beta 90.00
_cell_angle_gamma 90.00
loop_
_atom_site_label
_atom_site_type_symbol
_atom_site_fract_x
_atom_site_fract_y
_atom_site_fract_z
Al1 Al 0.0000 0.0000 0.0000
Si1 Si 0.0000 0.0000 0.5000
W1 W 0.0000 0.5000 0.2616
```

As for the density: 11.654 Mg/m³. Its density of states at the Fermi level is 1.59 states/eV/f.u. As for the size of the total moment: 0.0 μB/f.u.

=====

## c
VASP calculation (PBE-GGA) on AlSiW2 after structural relaxation.

CIF file:
```
data_AlSiW2
_symmetry_space_group_name_H-M 'F m -3 m'
_symmetry_Int_Tables_number 225
_symmetry_space_group_name_Hall '-F 4 2 3'
_cell_length_a 6.1786
_cell_length_b 6.1786
_cell_length_c 6.1786
_cell_angle_alpha 90.00
_cell_angle_beta 90.00
_cell_angle_gamma 90.00
loop_
_atom_site_label
_atom_site_type_symbol
_atom_site_fract_x
_atom_site_fract_y
_atom_site_fract_z
Al1 Al 0.0000 0.0000 0.0000
Si1 Si 0.0000 0.0000 0.5000
W1 W 0.2500 0.2500 0.2500
```

As for the density: 11.905 Mg/m³. Its density of states at the Fermi level is 2.77 states/eV/f.u. As for the size of the total moment: 0.0 μB/f.u.

=====

## d
VASP calculation (PBE-GGA) on AlSiW2 after structural relaxation.

CIF file:
```
data_AlSiW2
_symmetry_space_group_name_H-M 'C m m 2'
_symmetry_Int_Tables_number 35
_symmetry_space_group_name_Hall 'C 2 -2'
_cell_length_a 3.3197
_cell_length_b 4.3556
_cell_length_c 8.5911
_cell_angle_alpha 90.00
_cell_angle_beta 90.00
_cell_angle_gamma 90.00
loop_
_atom_site_label
_atom_site_type_symbol
_atom_site_fract_x
_atom_site_fract_y
_atom_site_fract_z
Al1 Al 0.0000 0.0000 0.0000
Si1 Si 0.0000 0.5000 0.7381
W1 W 0.0000 0.0000 0.5061
W2 W 0.0000 0.5000 0.2467
```

As for the density: 11.302 Mg/m³. Its density of states at the Fermi level is 1.97 states/eV/f.u. As for the size of the total moment: 0.0 μB/f.u.

=====

Here are the energies relative to the best structure, in meV/atom: a 142; b 0; c 171; d 84.

=====

## a
VASP calculation (PBE-GGA) on AlSiW2 after structural relaxation.

CIF file:
```
data_AlSiW2
_symmetry_space_group_name_H-M 'P 1 m 1'
_symmetry_Int_Tables_number 6
_symmetry_space_group_name_Hall 'P -2y'
_cell_length_a 2.7384
_cell_length_b 4.4621
_cell_length_c 5.0190
_cell_angle_alpha 90.00
_cell_angle_beta 105.42
_cell_angle_gamma 90.00
loop_
_atom_site_label
_atom_site_type_symbol
_atom_site_fract_x
_atom_site_fract_y
_atom_site_fract_z
Al1 Al 0.0000 0.0000 0.0000
Si1 Si 0.1413 0.5000 0.2947
W1 W 0.4091 0.5000 0.8178
W2 W 0.7297 0.0000 0.4748
```

As for the density: 11.874 Mg/m³. Its density of states at the Fermi level is 1.74 states/eV/f.u. As for the size of the total moment: 0.0 μB/f.u.

=====

## b
VASP calculation (PBE-GGA) on AlSiW2 after structural relaxation.

CIF file:
```
data_AlSiW2
_symmetry_space_group_name_H-M 'P m m m'
_symmetry_Int_Tables_number 47
_symmetry_space_group_name_Hall '-P 2 2'
_cell_length_a 2.7348
_cell_length_b 4.0165
_cell_length_c 5.4511
_cell_angle_alpha 90.00
_cell_angle_beta 90.00
_cell_angle_gamma 90.00
loop_
_atom_site_label
_atom_site_type_symbol
_atom_site_fract_x
_atom_site_fract_y
_atom_site_fract_z
Al1 Al 0.0000 0.0000 0.0000
Si1 Si 0.0000 0.0000 0.5000
W1 W 0.5000 0.5000 0.2550
```

As for the density: 11.724 Mg/m³. Its density of states at the Fermi level is 2.64 states/eV/f.u. As for the size of the total moment: 0.0 μB/f.u.

=====

Here are the energies relative to the best structure, in meV/atom: a 0; b 159.

=====

## a
VASP calculation (PBE-GGA) on AlSiW2 after structural relaxation.

CIF file:
```
data_AlSiW2
_symmetry_space_group_name_H-M 'P m m m'
_symmetry_Int_Tables_number 47
_symmetry_space_group_name_Hall '-P 2 2'
_cell_length_a 3.1872
_cell_length_b 4.1876
_cell_length_c 4.4908
_cell_angle_alpha 90.00
_cell_angle_beta 90.00
_cell_angle_gamma 90.00
loop_
_atom_site_label
_atom_site_type_symbol
_atom_site_fract_x
_atom_site_fract_y
_atom_site_fract_z
Al1 Al 0.0000 0.0000 0.0000
Si1 Si 0.5000 0.0000 0.5000
W1 W 0.0000 0.5000 0.5000
W2 W 0.5000 0.5000 0.0000
```

As for the density: 11.712 Mg/m³. Its density of states at the Fermi level is 1.84 states/eV/f.u. As for the size of the total moment: 0.0 μB/f.u.

=====

## b
VASP calculation (PBE-GGA) on AlSiW2 after structural relaxation.

CIF file:
```
data_AlSiW2
_symmetry_space_group_name_H-M 'C m m m'
_symmetry_Int_Tables_number 65
_symmetry_space_group_name_Hall '-C 2 2'
_cell_length_a 5.4317
_cell_length_b 8.0796
_cell_length_c 2.7222
_cell_angle_alpha 90.00
_cell_angle_beta 90.00
_cell_angle_gamma 90.00
loop_
_atom_site_label
_atom_site_type_symbol
_atom_site_fract_x
_atom_site_fract_y
_atom_site_fract_z
Al1 Al 0.0000 0.0000 0.0000
Si1 Si 0.0000 0.5000 0.0000
W1 W 0.2500 0.2500 0.5000
```

As for the density: 11.752 Mg/m³. Its density of states at the Fermi level is 3.04 states/eV/f.u. As for the size of the total moment: 0.0 μB/f.u.

=====

Here are the energies relative to the best structure, in meV/atom: a 0; b 135.

=====

## a
VASP calculation (PBE-GGA) on AlSiW2 after structural relaxation.

CIF file:
```
data_AlSiW2
_symmetry_space_group_name_H-M 'R -3 m'
_symmetry_Int_Tables_number 166
_symmetry_space_group_name_Hall '-R 3 2"'
_cell_length_a 2.8365
_cell_length_b 2.8365
_cell_length_c 26.2391
_cell_angle_alpha 90.00
_cell_angle_beta 90.00
_cell_angle_gamma 120.00
loop_
_atom_site_label
_atom_site_type_symbol
_atom_site_fract_x
_atom_site_fract_y
_atom_site_fract_z
Al1 Al 0.0000 0.0000 0.0000
Si1 Si 0.0000 0.0000 0.5000
W1 W 0.0000 0.0000 0.2468
```

As for the density: 11.519 Mg/m³. Its density of states at the Fermi level is 1.73 states/eV/f.u. As for the size of the total moment: 0.0 μB/f.u.

=====

## b
VASP calculation (PBE-GGA) on AlSiW2 after structural relaxation.

CIF file:
```
data_AlSiW2
_symmetry_space_group_name_H-M 'P 4 m m'
_symmetry_Int_Tables_number 99
_symmetry_space_group_name_Hall 'P 4 -2'
_cell_length_a 3.2205
_cell_length_b 3.2205
_cell_length_c 5.7102
_cell_angle_alpha 90.00
_cell_angle_beta 90.00
_cell_angle_gamma 90.00
loop_
_atom_site_label
_atom_site_type_symbol
_atom_site_fract_x
_atom_site_fract_y
_atom_site_fract_z
Al1 Al 0.0000 0.0000 0.0000
Si1 Si 0.5000 0.5000 0.2453
W1 W 0.0000 0.0000 0.4808
W2 W 0.5000 0.5000 0.7500
```

As for the density: 11.853 Mg/m³. Its density of states at the Fermi level is 1.48 states/eV/f.u. As for the size of the total moment: 0.0 μB/f.u.

=====

Here are the energies relative to the best structure, in meV/atom: a 288; b 0.

=====

## a
VASP calculation (PBE-GGA) on AlSiW2 after structural relaxation.

CIF file:
```
data_AlSiW2
_symmetry_space_group_name_H-M 'C 1 2/m 1'
_symmetry_Int_Tables_number 12
_symmetry_space_group_name_Hall '-C 2y'
_cell_length_a 5.5151
_cell_length_b 8.3135
_cell_length_c 2.7638
_cell_angle_alpha 90.00
_cell_angle_beta 108.97
_cell_angle_gamma 90.00
loop_
_atom_site_label
_atom_site_type_symbol
_atom_site_fract_x
_atom_site_fract_y
_atom_site_fract_z
Al1 Al 0.0000 0.0000 0.0000
Si1 Si 0.0000 0.5000 0.0000
W1 W 0.2500 0.2500 0.5000
```

As for the density: 11.715 Mg/m³. Its density of states at the Fermi level is 2.08 states/eV/f.u. As for the size of the total moment: 0.0 μB/f.u.

=====

## b
VASP calculation (PBE-GGA) on AlSiW2 after structural relaxation.

CIF file:
```
data_AlSiW2
_symmetry_space_group_name_H-M 'P 4 m m'
_symmetry_Int_Tables_number 99
_symmetry_space_group_name_Hall 'P 4 -2'
_cell_length_a 2.7077
_cell_length_b 2.7077
_cell_length_c 8.4458
_cell_angle_alpha 90.00
_cell_angle_beta 90.00
_cell_angle_gamma 90.00
loop_
_atom_site_label
_atom_site_type_symbol
_atom_site_fract_x
_atom_site_fract_y
_atom_site_fract_z
Al1 Al 0.0000 0.0000 0.0000
Si1 Si 0.5000 0.5000 0.2562
W1 W 0.0000 0.0000 0.4878
W2 W 0.5000 0.5000 0.7576
```

As for the density: 11.337 Mg/m³. Its density of states at the Fermi level is 1.81 states/eV/f.u. As for the size of the total moment: 0.0 μB/f.u.

=====

Here are the energies relative to the best structure, in meV/atom: a 0; b 159.

=====

## a
VASP calculation (PBE-GGA) on AlSiW2 after structural relaxation.

CIF file:
```
data_AlSiW2
_symmetry_space_group_name_H-M 'F -4 3 m'
_symmetry_Int_Tables_number 216
_symmetry_space_group_name_Hall 'F -4 2 3'
_cell_length_a 6.2055
_cell_length_b 6.2055
_cell_length_c 6.2055
_cell_angle_alpha 90.00
_cell_angle_beta 90.00
_cell_angle_gamma 90.00
loop_
_atom_site_label
_atom_site_type_symbol
_atom_site_fract_x
_atom_site_fract_y
_atom_site_fract_z
Al1 Al 0.0000 0.0000 0.0000
Si1 Si 0.2500 0.2500 0.7500
W1 W 0.0000 0.0000 0.5000
W2 W 0.2500 0.2500 0.2500
```

As for the density: 11.751 Mg/m³. Its density of states at the Fermi level is 1.61 states/eV/f.u. As for the size of the total moment: 0.0 μB/f.u.

=====

## b
VASP calculation (PBE-GGA) on AlSiW2 after structural relaxation.

CIF file:
```
data_AlSiW2
_symmetry_space_group_name_H-M 'P 4/m m m'
_symmetry_Int_Tables_number 123
_symmetry_space_group_name_Hall '-P 4 2'
_cell_length_a 2.9467
_cell_length_b 2.9467
_cell_length_c 6.9170
_cell_angle_alpha 90.00
_cell_angle_beta 90.00
_cell_angle_gamma 90.00
loop_
_atom_site_label
_atom_site_type_symbol
_atom_site_fract_x
_atom_site_fract_y
_atom_site_fract_z
Al1 Al 0.0000 0.0000 0.0000
Si1 Si 0.0000 0.0000 0.5000
W1 W 0.5000 0.5000 0.2779
```

As for the density: 11.688 Mg/m³. Its density of states at the Fermi level is 3.39 states/eV/f.u. As for the size of the total moment: 0.0 μB/f.u.

=====

Here are the energies relative to the best structure, in meV/atom: a 0; b 6.